# 1
This record from the Alexandria database describes a relaxed structure of CdGa2Sn. The functional is GGA-PBE.

Properties
Symmetry = No. 11
Energy above the lowest structure with this stoichiometry = 0.0 meV per atom
Calculated formation energy = 0.183 eV/f.u.

a b c (Å): 3.2160 4.0390 13.8141
angles (deg): 90.00 95.37 90.00
With the nearest neighbours (Å) after each atom.
Fractional coordinates of all 8 atoms:
Cd 0.2337 0.2500 0.4353  4 Ga 3.02-3.15, 6 Cd 3.10-3.22
Cd 0.7663 0.7500 0.5647  4 Ga 3.02-3.15, 6 Cd 3.10-3.22
Ga 0.2526 0.2500 0.9502  4 Ga 2.85-3.01, 2 Sn 3.02
Ga 0.2776 0.2500 0.6873  4 Cd 3.02-3.15, 4 Sn 3.08-3.19, 2 Ga 3.22
Ga 0.7224 0.7500 0.3127  4 Cd 3.02-3.15, 4 Sn 3.08-3.19, 2 Ga 3.22
Ga 0.7474 0.7500 0.0498  4 Ga 2.85-3.01, 2 Sn 3.02
Sn 0.2030 0.2500 0.1839  9 Ga 3.02-3.34, 2 Sn 3.22
Sn 0.7970 0.7500 0.8161  9 Ga 3.02-3.34, 2 Sn 3.22



# 2
This record from the Alexandria database describes a relaxed structure of NiRh3Se8. The functional is GGA-PBE.

Properties
Symmetry = No. 12
Formation energy from raw total energies = -4.23 eV per formula unit

a b c (Å): 6.2723 6.2723 8.1232
angles (deg): 120.21 120.21 72.00
With the nearest neighbours (Å) after each atom.
Fractional coordinates of all 12 atoms:
Ni 0.0000 0.0000 0.0000  6 Se 2.42
Rh 0.0000 0.5000 0.5000  6 Se 2.49-2.50
Rh 0.5000 0.0000 0.5000  6 Se 2.49-2.50
Rh 0.5000 0.5000 0.0000  6 Se 2.49-2.51
Se 0.0376 0.0376 0.3253  1 Ni 2.42, 2 Rh 2.50
Se 0.0389 0.5525 0.8392  1 Ni 2.42, 2 Rh 2.49
Se 0.4475 0.9611 0.1608  1 Ni 2.42, 2 Rh 2.49
Se 0.4628 0.4628 0.6647  3 Rh 2.50-2.51
Se 0.5372 0.5372 0.3353  3 Rh 2.50-2.51
Se 0.5525 0.0389 0.8392  1 Ni 2.42, 2 Rh 2.49
Se 0.9611 0.4475 0.1608  1 Ni 2.42, 2 Rh 2.49
Se 0.9624 0.9624 0.6747  1 Ni 2.42, 2 Rh 2.50



Number 1: E -2.70 eV/atom. Number 2: E -4.99 eV/atom.